Here is an optimized crystal structure of ErHfCS from OQMD. Energies are from PBE.

- M_tot: 0.001 μB/atom
- VASP energy: -66.11 eV/cell
- ΔE to the lowest computed polymorph: 0.06 eV/f.u.

Cell and atoms, written as POSCAR:
```
ErHfCS
1.0
-0.8333 3.0193 1.5544
-2.4850 -1.9167 -1.5421
-1.9717 -6.0534 10.7013
C Er Hf S
2 2 2 2
Direct
0.0000 0.0000 0.2675
0.0000 0.0000 0.7325
0.6667 0.3333 0.1510
0.6667 0.3333 0.8490
0.3333 0.6667 0.3560
0.3333 0.6667 0.6440
0.3333 0.6667 0.0000
0.6667 0.3333 0.5000
```


Here is an optimized crystal structure of ErHf3C2Se2 from OQMD. Energies are from PBE.

- M_tot: 0.000 μB/atom
- VASP energy: -69.16 eV/cell

Cell and atoms, written as POSCAR:
```
ErHf3C2Se2
1.0
3.4830 0.0000 0.0000
-1.7415 3.0164 0.0000
0.0000 0.0000 12.7196
C Er Hf Se
2 1 3 2
Direct
0.3333 0.6667 0.0136
0.3333 0.6667 0.4972
0.0000 0.0000 0.9018
0.6667 0.3333 0.1007
0.6667 0.3333 0.4052
0.0000 0.0000 0.5900
0.0000 0.0000 0.2539
0.6667 0.3333 0.7375
```


Here is an optimized crystal structure of Er3HfC2Se2 from OQMD. Energies are from PBE.

- M_tot: 0.001 μB/atom
- VASP energy: -58.33 eV/cell

Cell and atoms, written as POSCAR:
```
Er3HfC2Se2
1.0
-1.3986 -3.2228 0.9119
3.5946 0.4998 0.0562
-0.7267 3.8295 12.4187
C Er Hf Se
2 3 1 2
Direct
0.0000 0.0000 0.0138
0.0000 0.0000 0.4965
0.3333 0.6667 0.3978
0.6667 0.3333 0.5996
0.6667 0.3333 0.9039
0.3333 0.6667 0.0969
0.6667 0.3333 0.2380
0.3333 0.6667 0.7536
```


Here is an optimized crystal structure of ErHf3Sn2C2 from OQMD. Energies are from PBE.

- M_tot: 0.001 μB/atom
- VASP energy: -66.71 eV/cell

Cell and atoms, written as POSCAR:
```
ErHf3Sn2C2
1.0
-0.9456 -3.2511 -0.0395
2.8451 0.9548 -1.5682
7.6566 -2.3781 12.4429
C Er Hf Sn
2 1 3 2
Direct
0.3333 0.6667 0.0129
0.3333 0.6667 0.4961
0.0000 0.0000 0.9160
0.6667 0.3333 0.0897
0.6667 0.3333 0.4148
0.0000 0.0000 0.5776
0.0000 0.0000 0.2524
0.6667 0.3333 0.7406
```